Entry 1:
Here is crystalline CsAlHgTe2 at its relaxed geometry from Alexandria via LeMat-Bulk. Energies are from PBE.

Structure (POSCAR):
```
CsAlHgTe2
1.0
5.587 0.000 0.000
0.000 5.587 0.000
0.000 0.000 5.657
Cs Al Hg Te
1 1 1 2
Cartesian
0.000 0.000 0.000
2.794 2.794 2.829
2.794 2.794 0.000
0.000 2.794 2.829
2.794 0.000 2.829
```

## Properties
Energy relative to the elements, uncorrected ... -0.392 eV per atom
E_tot ... -2.629 eV/atom
Calculated volume ... 35.324 A^3/atom
Total magnetic moment ... 0.000 μB per atom

---

Entry 2:
Here is crystalline TbPrAl at its relaxed geometry from Alexandria via LeMat-Bulk. Energies are from PBE.

Structure (POSCAR):
```
TbPrAl
1.0
5.381 0.000 0.000
-2.691 4.660 0.000
0.000 0.000 6.749
Tb Pr Al
2 2 2
Cartesian
0.000 3.107 1.687
2.691 1.553 5.062
0.000 0.000 0.000
0.000 0.000 3.375
0.000 3.107 5.062
2.691 1.553 1.687
```

## Properties
E_tot ... -4.600 eV/atom
Energy relative to the lowest polymorph listed for this composition ... 0 kJ/mol of formula units
Calculated volume ... 28.220 A^3/atom
ΔH_f (0 K) ... -20.8 kJ/mol of atoms
Total magnetic moment ... 0.001 μB per atom

---

Entry 3:
Here is crystalline Be3Hg at its relaxed geometry from Alexandria via LeMat-Bulk. Energies are from PBE.

Structure (POSCAR):
```
Be3Hg
1.0
3.940 2.275 0.940
-3.940 2.275 0.940
0.000 -4.549 0.940
Be Hg
3 1
Cartesian
-1.970 -1.137 0.940
-1.970 1.137 1.879
0.000 2.275 0.940
0.000 0.000 0.000
```

## Properties
E_tot ... -2.215 eV/atom
Energy relative to the lowest polymorph listed for this composition ... 150 kJ/mol of formula units
Calculated volume ... 12.633 A^3/atom
ΔH_f (0 K) ... 63.2 kJ/mol of atoms
Total magnetic moment ... 0.000 μB per atom

---

Entry 4:
Here is crystalline LiHoGe2O6 at its relaxed geometry from Alexandria via LeMat-Bulk. Energies are from PBE.

Structure (POSCAR):
```
LiHoGe2O6
1.0
5.138 -4.842 0.000
5.138 4.842 0.000
-1.943 0.000 5.354
Li Ho Ge O
2 2 4 12
Cartesian
3.681 2.607 4.016
4.652 -2.607 1.339
4.652 3.746 1.339
3.681 -3.746 4.016
2.570 0.816 1.525
1.598 -0.816 4.202
6.735 0.816 1.152
5.763 -0.816 3.829
0.914 0.768 0.858
3.147 2.353 2.097
-0.057 -0.768 3.535
3.644 0.408 0.142
6.157 2.353 0.580
2.672 -0.408 2.820
5.660 0.408 2.535
2.176 -2.353 4.775
4.689 -0.408 5.212
8.390 0.768 1.819
5.186 -2.353 3.257
7.419 -0.768 4.496
```

## Properties
Energy relative to the elements, uncorrected ... -2.258 eV per atom
E_tot ... -6.805 eV/atom
Calculated volume ... 13.320 A^3/atom
Total magnetic moment ... 0.000 μB per atom

---

Entry 5:
Here is crystalline Be17OsPd at its relaxed geometry from Alexandria via LeMat-Bulk. Energies are from PBE.

Structure (POSCAR):
```
Be17OsPd
1.0
3.611 2.085 3.567
-3.611 2.085 3.567
0.000 -4.170 3.567
Be Os Pd
17 1 1
Cartesian
0.000 0.000 0.581
0.000 -2.128 3.403
-1.843 1.064 3.403
-1.111 -2.261 5.220
-2.514 0.168 5.220
0.000 0.000 2.744
-1.808 -1.044 6.882
1.111 -2.261 5.220
-1.403 2.093 5.220
0.000 -2.006 7.133
-1.737 1.003 7.133
1.843 1.064 3.403
1.808 -1.044 6.882
0.000 2.088 6.882
2.514 0.168 5.220
1.403 2.093 5.220
1.737 1.003 7.133
0.000 0.000 8.856
0.000 0.000 5.375
```

## Properties
E_tot ... -4.358 eV/atom
Calculated volume ... 8.481 A^3/atom
ΔH_f (0 K) ... -15.4 kJ/mol of atoms
Total magnetic moment ... 0.000 μB per atom

---

Entry 6:
Here is crystalline HgPtSe2 at its relaxed geometry from Alexandria via LeMat-Bulk. Energies are from PBE.

Structure (POSCAR):
```
HgPtSe2
1.0
3.906 0.000 0.000
0.000 3.906 0.000
0.000 0.000 5.520
Hg Pt Se
1 1 2
Cartesian
0.000 0.000 0.000
1.953 1.953 2.760
0.000 0.000 2.760
1.953 1.953 0.000
```

## Properties
Energy relative to the elements, uncorrected ... 0.049 eV per atom
E_tot ... -3.279 eV/atom
Energy relative to the lowest polymorph listed for this composition ... 132 kJ/mol of formula units
Calculated volume ... 21.058 A^3/atom
Total magnetic moment ... 0.000 μB per atom